Computed, not measured: a crystal of Ta2IrOs relaxed with PBEsol at the SCAN level of DFT.

Results
- Energy relative to the elements: -0.519 eV per atom
- Total magnetic moment: 0.00 μB per cell
- Symmetry: No. 6
- Total energy: -278.22 eV per cell

abc: 2.9067 4.5129 4.9061
angles: 90.00 97.74 90.00
Element x y z (fractional)
1 Ta 0.0000 0.0000 0.0000
2 Ta 0.1700 0.5000 0.6082
3 Ir 0.5424 0.5000 0.1279
4 Os 0.6282 0.0000 0.4971

Computed, not measured: a crystal of Ta2IrOs relaxed with PBEsol at the SCAN level of DFT.

Results
- Energy relative to the elements: -0.517 eV per atom
- Total magnetic moment: 0.00 μB per cell
- Symmetry: No. 139
- Total energy: -278.21 eV per cell

abc: 4.6880 4.6880 4.6880
angles: 127.50 127.50 77.43
Element x y z (fractional)
1 Ta 0.2500 0.7500 0.5000
2 Ta 0.7500 0.2500 0.5000
3 Ir 0.0000 0.0000 0.0000
4 Os 0.5000 0.5000 0.0000

Which of these has the lowest total energy?
number 1

Among the records above, which one has the highest total energy?
number 2

The highest total energy belongs to which entry?
number 2